(1)
Ta2AlRe | GGA-PBE | relaxed

Results
E   -10.1782 eV/atom
ΔE_f   -0.2042 eV per atom

Cell lengths 3.319, 4.481, 8.925 Å; angles 90.00, 90.00, 90.00 degrees
Space group Immm (No. 71)
Inequivalent atoms, fractional coordinates:
Ta 0.000 0.000 0.236 x4
Al 0.000 0.500 0.000 x2
Re 0.000 0.500 0.500 x2

(2)
TaAl2Re | GGA-PBE | relaxed

Results
E   -7.9399 eV/atom
ΔE_f   0.0065 eV per atom

Cell lengths 2.8520, 2.8520, 27.5562 Å; angles 90.00, 90.00, 120.00 degrees
Space group R3m (No. 160, hexagonal axes)
Inequivalent atoms, fractional coordinates:
Ta 0.0000 0.0000 0.0000 x3
Al 0.0000 0.0000 0.5033 x3
Al 0.0000 0.0000 0.7524 x3
Re 0.0000 0.0000 0.2471 x3

(3)
TaAl2Re | GGA-PBE | relaxed

Results
E   -7.9687 eV/atom
ΔE_f   -0.0222 eV per atom

Cell lengths 2.8708, 2.8708, 26.9141 Å; angles 90.00, 90.00, 120.00 degrees
Space group R-3m (No. 166, hexagonal axes)
Inequivalent atoms, fractional coordinates:
Ta 0.0000 0.0000 0.0000 x3
Al 0.0000 0.0000 0.2459 x6
Re 0.0000 0.0000 0.5000 x3

(4)
TaAlReTc | GGA-PBE | relaxed

Results
E   -9.9244 eV/atom
ΔE_f   -0.3221 eV per atom

Cell lengths 6.268, 6.268, 6.268 Å; angles 90.00, 90.00, 90.00 degrees
Space group F-43m (No. 216)
Inequivalent atoms, fractional coordinates:
Ta 0.000 0.000 0.000 x4
Al 0.000 0.000 0.500 x4
Re 0.250 0.250 0.750 x4
Tc 0.250 0.250 0.250 x4

(5)
TaAlVRe2 | GGA-PBE | relaxed

Results
E   -8.5836 eV/atom
ΔE_f   1.3384 eV per atom

Cell lengths 4.530, 4.530, 4.524 Å; angles 90.00, 90.00, 90.00 degrees
Space group P4/mmm (No. 123)
Inequivalent atoms, fractional coordinates:
Ta 0.000 0.000 0.000 x1
Al 0.500 0.500 0.000 x1
V 0.000 0.000 0.500 x1
Re 0.000 0.500 0.500 x2

(6)
ZrTaAlRe | GGA-PBE | relaxed

Results
E   -9.3204 eV/atom
ΔE_f   -0.1726 eV per atom

Cell lengths 6.552, 6.552, 6.552 Å; angles 90.00, 90.00, 90.00 degrees
Space group F-43m (No. 216)
Inequivalent atoms, fractional coordinates:
Zr 0.000 0.000 0.000 x4
Ta 0.000 0.000 0.500 x4
Al 0.250 0.250 0.250 x4
Re 0.250 0.250 0.750 x4

(7)
Tb4Al12Re | GGA-PBE | relaxed

Results
E   -4.8828 eV/atom
ΔE_f   -0.4193 eV per atom

Cell lengths 8.695, 8.695, 8.695 Å; angles 90.00, 90.00, 90.00 degrees
Space group Im-3m (No. 229)
Inequivalent atoms, fractional coordinates:
Tb 0.250 0.250 0.250 x8
Al 0.000 0.000 0.289 x12
Al 0.000 0.250 0.500 x12
Re 0.000 0.000 0.000 x2

(8)
Tb2AlRe | GGA-PBE | relaxed

Results
E   -5.7297 eV/atom
ΔE_f   0.6331 eV per atom

Cell lengths 3.0584, 3.0584, 32.5647 Å; angles 90.00, 90.00, 120.00 degrees
Space group R-3m (No. 166, hexagonal axes)
Inequivalent atoms, fractional coordinates:
Tb 0.0000 0.0000 0.0863 x6
Al 0.0000 0.0000 0.5000 x3
Re 0.0000 0.0000 0.0000 x3

(9)
TbAl10Re2 | GGA-PBE | relaxed

Results
E   -5.5087 eV/atom
ΔE_f   -0.3586 eV per atom

Cell lengths 9.308, 10.365, 18.031 Å; angles 90.00, 90.00, 90.00 degrees
Space group Cmcm (No. 63)
Inequivalent atoms, fractional coordinates:
Tb 0.000 0.000 0.000 x4
Tb 0.000 0.257 0.250 x4
Al 0.000 0.035 0.675 x8
Al 0.000 0.249 0.593 x8
Al 0.000 0.283 0.074 x8
Al 0.000 0.495 0.643 x8
Al 0.149 0.237 0.750 x8
Al 0.151 0.500 0.000 x8
Al 0.214 0.487 0.250 x8
Al 0.219 0.128 0.131 x16
Al 0.250 0.250 0.000 x8
Re 0.248 0.378 0.121 x16

(10)
TbAlRe | GGA-PBE | relaxed

Results
E   -7.2864 eV/atom
ΔE_f   -0.3461 eV per atom

Cell lengths 5.357, 5.595, 7.628 Å; angles 90.00, 90.00, 90.00 degrees
Space group Imma (No. 74)
Inequivalent atoms, fractional coordinates:
Tb 0.000 0.250 0.117 x4
Al 0.000 0.000 0.500 x4
Re 0.250 0.250 0.750 x4

(11)
TbAl10Re2 | GGA-PBE | relaxed

Results
E   -5.4970 eV/atom
ΔE_f   -0.3468 eV per atom

Cell lengths 9.186, 10.352, 9.206 Å; angles 90.00, 90.00, 90.00 degrees
Space group Cmcm (No. 63)
Inequivalent atoms, fractional coordinates:
Tb 0.000 0.129 0.250 x4
Al 0.000 0.151 0.596 x8
Al 0.000 0.376 0.037 x8
Al 0.159 0.370 0.750 x8
Al 0.226 0.000 0.000 x8
Al 0.226 0.367 0.250 x8
Re 0.250 0.250 0.000 x8

(12)
Tb2AlRe3 | GGA-PBE | relaxed

Results
E   -8.6870 eV/atom
ΔE_f   -0.2958 eV per atom

Cell lengths 5.3568, 5.3568, 13.6281 Å; angles 90.00, 90.00, 120.00 degrees
Space group R-3m (No. 166, hexagonal axes)
Inequivalent atoms, fractional coordinates:
Tb 0.0000 0.0000 0.1216 x6
Al 0.0000 0.0000 0.5000 x3
Re 0.0000 0.5000 0.0000 x9

(13)
Al4ReTc | GGA-PBE | relaxed

Results
E   -6.1904 eV/atom
ΔE_f   0.1070 eV per atom

Cell lengths 7.002, 7.002, 7.002 Å; angles 90.00, 90.00, 90.00 degrees
Space group F-43m (No. 216)
Inequivalent atoms, fractional coordinates:
Al 0.125 0.125 0.125 x16
Re 0.250 0.250 0.750 x4
Tc 0.000 0.000 0.500 x4

(14)
Al2ReTc | GGA-PBE | relaxed

Results
E   -7.7185 eV/atom
ΔE_f   -0.1437 eV per atom

Cell lengths 6.138, 6.138, 6.138 Å; angles 90.00, 90.00, 90.00 degrees
Space group F-43m (No. 216)
Inequivalent atoms, fractional coordinates:
Al 0.000 0.000 0.000 x4
Al 0.250 0.250 0.250 x4
Re 0.250 0.250 0.750 x4
Tc 0.000 0.000 0.500 x4

(15)
Al2ReTc | GGA-PBE | relaxed

Results
E   -7.6940 eV/atom
ΔE_f   -0.1192 eV per atom

Cell lengths 3.087, 4.524, 8.352 Å; angles 90.00, 90.00, 90.00 degrees
Space group Immm (No. 71)
Inequivalent atoms, fractional coordinates:
Al 0.000 0.000 0.249 x4
Re 0.000 0.500 0.000 x2
Tc 0.000 0.500 0.500 x2

(16)
AlReTc2 | GGA-PBE | relaxed

Results
E   -9.2526 eV/atom
ΔE_f   -0.0219 eV per atom

Cell lengths 5.334, 8.557, 2.747 Å; angles 90.00, 111.28, 90.00 degrees
Space group C2/m (No. 12)
Inequivalent atoms, fractional coordinates:
Al 0.000 0.000 0.000 x2
Re 0.000 0.500 0.000 x2
Tc 0.250 0.250 0.500 x4

(17)
Al2ReTc | GGA-PBE | relaxed

Results
E   -7.6082 eV/atom
ΔE_f   -0.0334 eV per atom

Cell lengths 5.443, 7.828, 2.751 Å; angles 90.00, 90.00, 90.00 degrees
Space group Cmmm (No. 65)
Inequivalent atoms, fractional coordinates:
Al 0.250 0.250 0.000 x4
Re 0.000 0.000 0.500 x2
Tc 0.000 0.500 0.500 x2

(18)
AlReTc2 | GGA-PBE | relaxed

Results
E   -9.1645 eV/atom
ΔE_f   0.0662 eV per atom

Cell lengths 2.925, 4.579, 8.809 Å; angles 90.00, 90.00, 90.00 degrees
Space group Cmm2 (No. 35)
Inequivalent atoms, fractional coordinates:
Al 0.000 0.000 0.000 x2
Re 0.000 0.500 0.749 x2
Tc 0.000 0.000 0.496 x2
Tc 0.000 0.500 0.244 x2

(19)
AlReTc2 | GGA-PBE | relaxed

Results
E   -9.4360 eV/atom
ΔE_f   -0.2053 eV per atom

Cell lengths 3.031, 3.031, 6.291 Å; angles 90.00, 90.00, 90.00 degrees
Space group P4/mmm (No. 123)
Inequivalent atoms, fractional coordinates:
Al 0.000 0.000 0.000 x1
Re 0.000 0.000 0.500 x1
Tc 0.500 0.500 0.248 x2

(20)
AlReTc2 | GGA-PBE | relaxed

Results
E   -9.3794 eV/atom
ΔE_f   -0.1487 eV per atom

Cell lengths 3.088, 4.291, 8.689 Å; angles 90.00, 90.00, 90.00 degrees
Space group Immm (No. 71)
Inequivalent atoms, fractional coordinates:
Al 0.000 0.000 0.000 x2
Re 0.000 0.000 0.500 x2
Tc 0.000 0.500 0.252 x4

Summary of mass density in g cm⁻³
14.4; 10.8; 10.9; 13.3; 11.3; 11.5; 5.8; 10.0; 6.1; 10.8; 6.1; 13.3; 7.6; 9.7; 9.6; 11.6; 9.6; 11.5; 11.8; 11.8
(order as listed above)